SrLa2HgRu: relaxed, GGA-PBE.

The space group is P4/mmm (No. 123) and the conventional cell measures 5.3502, 5.3502 and 6.0587 Å, with angles of 90.00, 90.00 and 90.00 degrees. Symmetry generates all atoms from Sr at (0.0000, 0.0000, 0.0000), La at (0.0000, 0.5000, 0.5000), Hg at (0.5000, 0.5000, 0.0000) and Ru at (0.0000, 0.0000, 0.5000).

Its total magnetization is 0.00 μB/cell. The calculation puts the energy at -4.414 eV per atom. As for the formation energy: -0.191 eV per atom. As for the crystal system: tetragonal. The density of states at the Fermi level is 4.84 states/eV/f.u. Its mass density is 6.387 g/cm3.